Record 1
The following is a PBE calculation of a geometry-optimized KLa4Br structure, from Alexandria.

Lattice parameters (Å, degrees): 7.0036 7.0036 7.0036 60.00 60.00 60.00
Fractional coordinates of all 6 atoms:
K1 0.0000 0.0000 0.0000
La1 0.8869 0.3710 0.3710
La2 0.3710 0.3710 0.8869
La3 0.3710 0.8869 0.3710
La4 0.3710 0.3710 0.3710
Br1 0.7500 0.7500 0.7500

Summary:
Its space-group type is F-43m. The calculation puts the electronic total energy at -3.45 eV/atom. As for the volume: 243 Å³/cell.

Record 2
The following is a PBE calculation of a geometry-optimized MgTi3Ge structure, from Alexandria.

Lattice parameters (Å, degrees): 4.7663 4.7663 4.7663 90.00 90.00 90.00
Fractional coordinates of all 5 atoms:
Ge1 0.0000 0.0000 0.0000
Mg1 0.5000 0.5000 0.5000
Ti1 0.0000 0.5000 0.0000
Ti2 0.0000 0.0000 0.5000
Ti3 0.5000 0.0000 0.0000

Summary:
Its space-group type is Pm-3m. The calculation puts the electronic total energy at -5.64 eV/atom. The value obtained for the energy of formation from the pure elements is 0.340 eV per atom. As for the volume: 108 Å³/cell. The excess energy over the best structure of this formula in the dataset comes out at 0.000 eV/atom.

Record 3
The following is a PBE calculation of a geometry-optimized TcPtPb structure, from Alexandria.

Lattice parameters (Å, degrees): 6.3668 6.3668 6.3668 151.91 151.93 40.14
Fractional coordinates of all 3 atoms:
Pb1 0.0036 0.0036 0.0000
Pt1 0.3111 0.3111 0.0000
Tc1 0.6853 0.6853 0.0000

Summary:
Its space-group type is I4mm. The calculation puts the electronic total energy at -6.30 eV/atom. The value obtained for the energy of formation from the pure elements is 0.402 eV per atom. As for the volume: 57 Å³/cell. The excess energy over the best structure of this formula in the dataset comes out at 0.000 eV/atom.

Record 4
The following is a PBE calculation of a geometry-optimized HoSiBOs2 structure, from Alexandria.

Lattice parameters (Å, degrees): 3.9715 5.8940 7.1422 90.00 90.00 109.69
Fractional coordinates of all 10 atoms:
Ho1 0.4521 0.9041 0.7500
Ho2 0.5479 0.0959 0.2500
Si1 0.7311 0.4622 0.7500
Si2 0.2689 0.5378 0.2500
B1 0.0000 0.0000 0.0000
B2 0.0000 0.0000 0.5000
Os1 0.1724 0.3447 0.9373
Os2 0.8276 0.6553 0.0627
Os3 0.1724 0.3447 0.5627
Os4 0.8276 0.6553 0.4373

Summary:
Its space-group type is Cmcm. The calculation puts the electronic total energy at -8.37 eV/atom. As for the volume: 157 Å³/cell.

Record 5
The following is a PBE calculation of a geometry-optimized Cs4AgI2Br structure, from Alexandria.

Lattice parameters (Å, degrees): 5.4309 9.4521 9.4362 109.31 90.00 90.00
Fractional coordinates of all 8 atoms:
Cs1 0.5000 0.2534 0.2422
Cs2 0.5000 0.7466 0.7578
Cs3 0.0000 0.2592 0.7615
Cs4 0.0000 0.7408 0.2385
Ag1 0.0000 0.0000 0.0000
I1 0.5000 0.0000 0.5000
I2 0.0000 0.5000 0.5000
Br1 0.5000 0.5000 0.0000

Summary:
Its space-group type is P2/m. The calculation puts the electronic total energy at -2.57 eV/atom. As for the volume: 457 Å³/cell.

Record 6
The following is a PBE calculation of a geometry-optimized Pm2DyHoS6 structure, from Alexandria.

Lattice parameters (Å, degrees): 7.0191 7.0191 7.4054 61.71 61.71 60.00
Fractional coordinates of all 10 atoms:
Pm1 0.5211 0.5211 0.4368
Pm2 0.0207 0.0207 0.9379
Dy1 0.8162 0.8162 0.5513
Ho1 0.3167 0.3166 0.0500
S1 0.6073 0.2042 0.2563
S2 0.2041 0.9322 0.2563
S3 0.9323 0.6073 0.2564
S4 0.4304 0.7037 0.7567
S5 0.7037 0.1091 0.7567
S6 0.1091 0.4305 0.7568

Summary:
Its space-group type is R3. The calculation puts the electronic total energy at -6.39 eV/atom. As for the volume: 264 Å³/cell.